A relaxed Pm2NdTh3P6 crystal. Source: the Alexandria database, functional PBE.

Calculated values
calculated volume = 25.2 Å³ per atom
magnetic moment = 0.00 μB per cell
energy relative to the elements = -1.573 eV per atom

a b c (Å): 7.192 12.438 7.161
angles (deg): 90.00 109.55 90.00
Space group C2/m (No. 12)
Symmetry-distinct sites (fractional):
Pm  0.000  0.167  0.000 [4 per cell]
Nd  0.000  0.500  0.000 [2 per cell]
Th  0.000  0.000  0.500 [2 per cell]
Th  0.000  0.334  0.500 [4 per cell]
P  0.248  0.167  0.747 [8 per cell]
P  0.250  0.000  0.253 [4 per cell]